[1]
A relaxed Li2PmDyTe4 crystal. Source: the Alexandria database, functional GGA-PBE.

The calculation puts the electronic total energy at -4.513 eV/atom. The formation energy without anion corrections comes out at -1.29 eV/atom. The calculation puts the total moment at 0.0 μB/cell.

The space group is P2/m (No. 10) and the conventional cell measures 7.5088, 4.3914 and 7.6018 Å, with angles of 90.00, 109.67 and 90.00 degrees. Symmetry generates all atoms from Li at (0.0000, 0.0000, 0.0000), Li at (0.0000, 0.5000, 0.5000), Pm at (0.5000, 0.0000, 0.5000), Dy at (0.5000, 0.5000, 0.0000), Te at (0.2405, 0.5000, 0.2417) and Te at (0.2435, 0.0000, 0.7534).

[2]
A relaxed LiAc3Tl4 crystal. Source: the Alexandria database, functional GGA-PBE.

The calculation puts the electronic total energy at -3.164 eV/atom. The value obtained for the energy of formation is -201 meV/atom. The calculation puts the total moment at 0.0 μB/cell. The value obtained for the energy above the most stable polymorph in this dataset is 109 meV/atom.

The space group is Immm (No. 71) and the conventional cell measures 5.1673, 7.5221 and 14.6222 Å, with angles of 90.00, 90.00 and 90.00 degrees. Symmetry generates all atoms from Li at (0.0000, 0.0000, 0.0000), Ac at (0.0000, 0.0000, 0.5000), Ac at (0.0000, 0.5000, 0.3148) and Tl at (0.0000, 0.2844, 0.1156).

[3]
A relaxed AgSe2O crystal. Source: the Alexandria database, functional GGA-PBE.

The calculation puts the electronic total energy at -3.463 eV/atom. The formation energy without anion corrections comes out at 0.23 eV/atom. The calculation puts the total moment at 0.0 μB/cell.

The space group is I-42d (No. 122) and the conventional cell measures 5.1077, 5.1077 and 12.9757 Å, with angles of 90.00, 90.00 and 90.00 degrees. Symmetry generates all atoms from Ag at (0.0000, 0.0000, 0.0000), Se at (0.1125, 0.2500, 0.6250) and O at (0.0000, 0.0000, 0.5000).

[4]
A relaxed Ho3BiC crystal. Source: the Alexandria database, functional GGA-PBE.

The calculation puts the electronic total energy at -5.904 eV/atom. The value obtained for the energy of formation is -537 meV/atom. The calculation puts the total moment at 0.0 μB/cell.

The space group is Pm-3m (No. 221) and the conventional cell measures 4.8995, 4.8995 and 4.8995 Å, with angles of 90.00, 90.00 and 90.00 degrees. Symmetry generates all atoms from Ho at (0.0000, 0.0000, 0.5000), Bi at (0.5000, 0.5000, 0.5000) and C at (0.0000, 0.0000, 0.0000).

[5]
A relaxed Sm5Dy3In2 crystal. Source: the Alexandria database, functional GGA-PBE.

The calculation puts the electronic total energy at -4.175 eV/atom. The value obtained for the energy of formation is 113 meV/atom. The calculation puts the total moment at 0.0 μB/cell.

The space group is Ibam (No. 72) and the conventional cell measures 13.0145, 15.5724 and 6.4500 Å, with angles of 90.00, 90.00 and 90.00 degrees. Symmetry generates all atoms from Sm at (0.0000, 0.0000, 0.2500), Sm at (0.1294, 0.1641, 0.0000), Sm at (0.2490, 0.5000, 0.2500), Dy at (0.0000, 0.5000, 0.2500), Dy at (0.1069, 0.2693, 0.5000) and In at (0.1287, 0.3551, 0.0000).

[6]
A relaxed SnBi crystal. Source: the Alexandria database, functional GGA-PBE.

The calculation puts the electronic total energy at -3.879 eV/atom. The value obtained for the energy of formation is 63 meV/atom. The calculation puts the total moment at 0.0 μB/cell.

The space group is I4/m (No. 87) and the conventional cell measures 12.2756, 12.2756 and 3.3253 Å, with angles of 90.00, 90.00 and 90.00 degrees. Symmetry generates all atoms from Sn at (0.1043, 0.3709, 0.0000) and Bi at (0.1315, 0.8670, 0.5000).

[7]
A relaxed RbNaMg2Pt crystal. Source: the Alexandria database, functional GGA-PBE.

The calculation puts the electronic total energy at -2.508 eV/atom. The value obtained for the energy of formation is -205 meV/atom. The calculation puts the total moment at 0.0 μB/cell.

The space group is P4/mmm (No. 123) and the conventional cell measures 5.1827, 5.1827 and 5.7558 Å, with angles of 90.00, 90.00 and 90.00 degrees. Symmetry generates all atoms from Rb at (0.0000, 0.0000, 0.0000), Na at (0.5000, 0.5000, 0.0000), Mg at (0.0000, 0.5000, 0.5000) and Pt at (0.5000, 0.5000, 0.5000).

[8]
A relaxed LaV2Fe2 crystal. Source: the Alexandria database, functional GGA-PBE.

The calculation puts the electronic total energy at -7.830 eV/atom. The value obtained for the energy of formation is 188 meV/atom. The calculation puts the total moment at 0.0 μB/cell. The value obtained for the energy above the most stable polymorph in this dataset is 164 meV/atom.

The space group is I4/mmm (No. 139) and the conventional cell measures 4.0451, 4.0451 and 10.2357 Å, with angles of 90.00, 90.00 and 90.00 degrees. Symmetry generates all atoms from La at (0.0000, 0.0000, 0.0000), V at (0.0000, 0.0000, 0.3590) and Fe at (0.0000, 0.5000, 0.2500).